[1]
Compound: Mg2AgPb
Source: the Alexandria database
Functional: SCAN
Structure: PBEsol geometry

Output
- Total DFT energy (no corrections): -29.44 eV per atom
- Total magnetization: 0.00 Bohr magnetons per cell

```
Mg2AgPb
1.0
4.481 0.000 0.000
0.000 4.481 0.000
0.000 0.000 4.197
Mg Ag Pb
2 1 1
direct
0.000 0.500 0.000
0.500 0.000 0.000
0.000 0.000 0.500
0.500 0.500 0.500
```

---

[2]
Compound: Mg2AgPb
Source: the Alexandria database
Functional: SCAN
Structure: PBEsol geometry

Output
- Total DFT energy (no corrections): -29.40 eV per atom
- Total magnetization: 0.00 Bohr magnetons per cell

```
Mg2AgPb
1.0
3.690 0.000 0.000
0.000 3.690 0.000
0.000 0.000 6.418
Mg Ag Pb
2 1 1
direct
0.000 0.000 0.000
0.500 0.500 0.266
0.500 0.500 0.819
0.000 0.000 0.529
```

---

[3]
Compound: MgAg2Pb
Source: the Alexandria database
Functional: SCAN
Structure: PBEsol geometry

Output
- Total DFT energy (no corrections): -35.94 eV per atom
- Total magnetization: 0.00 Bohr magnetons per cell

```
MgAg2Pb
1.0
3.360 0.000 0.000
0.000 3.592 0.000
0.000 0.000 6.699
Mg Ag Pb
1 2 1
direct
0.000 0.000 0.000
0.500 0.500 0.214
0.500 0.500 0.786
0.000 0.000 0.500
```

---

[4]
Compound: Mg2AgPb
Source: the Alexandria database
Functional: SCAN
Structure: PBEsol geometry

Output
- Total DFT energy (no corrections): -29.44 eV per atom
- Total magnetization: 0.00 Bohr magnetons per cell

```
Mg2AgPb
1.0
-2.280 2.280 4.063
2.280 -2.280 4.063
2.280 2.280 -4.063
Mg Ag Pb
2 1 1
direct
0.250 0.750 0.500
0.750 0.250 0.500
0.000 0.000 0.000
0.500 0.500 0.000
```